Density functional theory data (PBE) for LaNi4Ir after structural relaxation.

Cell and atoms, written as CIF:
```
data_LaNi4Ir
_chemical_formula_sum 'La4 Ni16 Ir4'
_cell_length_a 7.034
_cell_length_b 7.034
_cell_length_c 7.034
_cell_angle_alpha 90.00
_cell_angle_beta 90.00
_cell_angle_gamma 90.00
_symmetry_space_group_name_H-M 'F -4 3 m'
_symmetry_Int_Tables_number 216
_symmetry_space_group_name_Hall 'F -4 2 3'
loop_
_atom_site_label
_atom_site_type_symbol
_atom_site_fract_x
_atom_site_fract_y
_atom_site_fract_z
La1 La 0.000 0.000 0.000
Ni1 Ni 0.123 0.123 0.623
Ir1 Ir 0.250 0.250 0.250
```

Results
spin magnetization	2.12	μB per formula unit
total energy	-6.232	eV/atom
D(E_F)	9.451	states/eV/f.u.
theoretical density	10.80	g/cm3
energy above the lowest structure with this stoichiometry	0	meV per atom
ΔE_f	-0.080	eV per atom

Density functional theory data (PBE) for Pr2PuTl3Se6 after structural relaxation.

Cell and atoms, written as CIF:
```
data_Pr2PuTl3Se6
_chemical_formula_sum 'Pr4 Pu2 Tl6 Se12'
_cell_length_a 7.499
_cell_length_b 12.991
_cell_length_c 8.106
_cell_angle_alpha 90.00
_cell_angle_beta 107.95
_cell_angle_gamma 90.00
_symmetry_space_group_name_H-M 'C 1 2/m 1'
_symmetry_Int_Tables_number 12
loop_
_symmetry_equiv_pos_as_xyz
'x,y,z'
'-x,-y,-z'
'-x,y,-z'
'x,-y,z'
'x+1/2,y+1/2,z'
'-x+1/2,-y+1/2,-z'
'-x+1/2,y+1/2,-z'
'x+1/2,-y+1/2,z'
loop_
_atom_site_label
_atom_site_type_symbol
_atom_site_fract_x
_atom_site_fract_y
_atom_site_fract_z
Pr1 Pr 0.000 0.167 0.000
Pu1 Pu 0.000 0.500 0.000
Tl1 Tl 0.000 0.000 0.500
Tl2 Tl 0.000 0.332 0.500
Se1 Se 0.233 0.337 0.210
Se2 Se 0.244 0.000 0.211
```

Results
spin magnetization	5.00	μB per formula unit
total energy	-5.597	eV/atom
D(E_F)	12.626	states/eV/f.u.
theoretical density	7.13	g/cm3

Density functional theory data (PBE) for V3PdPt2 after structural relaxation.

Cell and atoms, written as CIF:
```
data_V3PdPt2
_chemical_formula_sum 'V12 Pd4 Pt8'
_cell_length_a 9.508
_cell_length_b 8.121
_cell_length_c 4.668
_cell_angle_alpha 90.00
_cell_angle_beta 94.79
_cell_angle_gamma 90.00
_symmetry_space_group_name_H-M 'C 1 2/c 1'
_symmetry_Int_Tables_number 15
loop_
_symmetry_equiv_pos_as_xyz
'x,y,z'
'-x,-y,-z'
'-x,y,-z+1/2'
'x,-y,z+1/2'
'x+1/2,y+1/2,z'
'-x+1/2,-y+1/2,-z'
'-x+1/2,y+1/2,-z+1/2'
'x+1/2,-y+1/2,z+1/2'
loop_
_atom_site_label
_atom_site_type_symbol
_atom_site_fract_x
_atom_site_fract_y
_atom_site_fract_z
V1 V 0.000 0.090 0.250
V2 V 0.244 0.024 0.492
Pd1 Pd 0.000 0.405 0.250
Pt1 Pt 0.137 0.249 0.798
```

Results
spin magnetization	0.00	μB per formula unit
total energy	-7.634	eV/atom
D(E_F)	4.544	states/eV/f.u.
theoretical density	12.01	g/cm3
ΔE_f	-0.195	eV per atom